Entry 1:
# TiAgAs2, optimized geometry, DFT PBE-GGA
data_TiAgAs2
_cell_length_a 6.5818
_cell_length_b 6.5818
_cell_length_c 6.5818
_cell_angle_alpha 90.00
_cell_angle_beta 90.00
_cell_angle_gamma 90.00
_symmetry_space_group_name_H-M 'F m -3 m'
_symmetry_Int_Tables_number 225
_symmetry_space_group_name_Hall '-F 4 2 3'
loop_
_atom_site_label
_atom_site_fract_x
_atom_site_fract_y
_atom_site_fract_z
_atom_site_occupancy
Ti1 0.0000 0.0000 0.0000 1
Ag1 0.0000 0.0000 0.5000 1
As1 0.2500 0.2500 0.2500 1
# * volume: 17.82 Å³ per atom
# * DFT total energy: -81.01 eV for the cell shown

---

Entry 2:
# Ti2AgAs, optimized geometry, DFT PBE-GGA
data_Ti2AgAs
_cell_length_a 7.1672
_cell_length_b 7.1672
_cell_length_c 5.6036
_cell_angle_alpha 90.00
_cell_angle_beta 90.00
_cell_angle_gamma 90.00
_symmetry_space_group_name_H-M 'I -4 2 d'
_symmetry_Int_Tables_number 122
_symmetry_space_group_name_Hall 'I -4 2bw'
loop_
_atom_site_label
_atom_site_fract_x
_atom_site_fract_y
_atom_site_fract_z
_atom_site_occupancy
Ti1 0.2298 0.2500 0.1250 1
Ag1 0.0000 0.0000 0.5000 1
As1 0.0000 0.0000 0.0000 1
# * volume: 17.99 Å³ per atom
# * DFT total energy: -94.26 eV for the cell shown

---

Entry 3:
# Ti3AgAs, optimized geometry, DFT PBE-GGA
data_Ti3AgAs
_cell_length_a 4.6872
_cell_length_b 4.6872
_cell_length_c 4.6872
_cell_angle_alpha 90.00
_cell_angle_beta 90.00
_cell_angle_gamma 90.00
_symmetry_space_group_name_H-M 'P m -3 m'
_symmetry_Int_Tables_number 221
_symmetry_space_group_name_Hall '-P 4 2 3'
loop_
_atom_site_label
_atom_site_fract_x
_atom_site_fract_y
_atom_site_fract_z
_atom_site_occupancy
Ti1 0.0000 0.0000 0.5000 1
Ag1 0.5000 0.5000 0.5000 1
As1 0.0000 0.0000 0.0000 1
# * volume: 20.60 Å³ per atom
# * DFT total energy: -30.20 eV for the cell shown